A relaxed MnGe2Pt2 crystal, computed with PBE. Values from VASP.

Output
crystal system: tetragonal
raw total energy: -6.215 eV/atom
DOS at the Fermi energy: 0.611 states/eV/atom
size of the total moment: 7.77 μB per cell
volume: 168 Å³ per cell
ΔE_f: -0.59 eV per formula unit
space group: P4/mbm

Cell and atoms, written as Quantum ESPRESSO input:
```
&SYSTEM
  ibrav = 0, nat = 10, ntyp = 3
/
ATOMIC_SPECIES
Ge 72.64 Ge.upf
Pt 195.08 Pt.upf
Mn 54.94 Mn.upf
CELL_PARAMETERS angstrom
-6.691 -0.725 -2.247
-2.218 -0.388 6.728
-0.381 3.316 0.066
ATOMIC_POSITIONS crystal
Ge 0.337 0.163 0.500
Ge 0.837 0.337 0.500
Pt 0.642 0.142 0.000
Pt 0.142 0.358 0.000
Pt 0.358 0.858 0.000
Ge 0.163 0.663 0.500
Mn 0.000 0.000 0.000
Mn 0.500 0.500 0.000
Ge 0.663 0.837 0.500
Pt 0.858 0.642 0.000
```

---

A relaxed Mn2GePt crystal, computed with PBE. Values from VASP.

Output
crystal system: tetragonal
raw total energy: -7.469 eV/atom
DOS at the Fermi energy: 0.879 states/eV/atom
size of the total moment: 5.50 μB per cell
volume: 55 Å³ per cell
ΔE_f: -0.88 eV per formula unit
space group: P4/mmm

Cell and atoms, written as Quantum ESPRESSO input:
```
&SYSTEM
  ibrav = 0, nat = 4, ntyp = 3
/
ATOMIC_SPECIES
Pt 195.08 Pt.upf
Mn 54.94 Mn.upf
Ge 72.64 Ge.upf
CELL_PARAMETERS angstrom
3.850 0.000 0.000
0.000 3.795 0.000
0.000 0.000 3.795
ATOMIC_POSITIONS crystal
Pt 0.500 0.000 0.000
Mn 0.000 0.500 0.000
Mn 0.000 0.000 0.500
Ge 0.500 0.500 0.500
```

---

A relaxed MnGe3Pt crystal, computed with PBE. Values from VASP.

Output
crystal system: cubic
raw total energy: -5.470 eV/atom
DOS at the Fermi energy: 0.407 states/eV/atom
size of the total moment: 0.75 μB per cell
volume: 95 Å³ per cell
ΔE_f: 1.71 eV per formula unit
space group: Pm-3m

Cell and atoms, written as Quantum ESPRESSO input:
```
&SYSTEM
  ibrav = 0, nat = 5, ntyp = 3
/
ATOMIC_SPECIES
Mn 54.94 Mn.upf
Ge 72.64 Ge.upf
Pt 195.08 Pt.upf
CELL_PARAMETERS angstrom
-1.144 -1.465 4.163
-0.312 -4.263 -1.586
4.402 -0.683 0.970
ATOMIC_POSITIONS crystal
Mn 0.000 0.000 0.000
Ge 0.500 0.000 0.000
Ge 0.000 0.500 0.000
Ge 0.000 0.000 0.500
Pt 0.500 0.500 0.500
```

---

A relaxed MnGe2Pt6 crystal, computed with PBE. Values from VASP.

Output
crystal system: orthorhombic
raw total energy: -6.334 eV/atom
DOS at the Fermi energy: 0.685 states/eV/atom
size of the total moment: 3.98 μB per cell
volume: 142 Å³ per cell
ΔE_f: -2.36 eV per formula unit
space group: Amm2

Cell and atoms, written as Quantum ESPRESSO input:
```
&SYSTEM
  ibrav = 0, nat = 9, ntyp = 3
/
ATOMIC_SPECIES
Mn 54.94 Mn.upf
Pt 195.08 Pt.upf
Ge 72.64 Ge.upf
CELL_PARAMETERS angstrom
3.452 -5.968 0.000
3.452 5.968 0.000
0.000 0.000 3.451
ATOMIC_POSITIONS crystal
Mn 0.000 0.000 0.500
Pt 0.999 0.376 0.500
Pt 0.000 0.716 0.000
Ge 0.667 0.334 0.000
Pt 0.376 0.999 0.500
Pt 0.716 0.000 0.000
Pt 0.624 0.624 0.500
Ge 0.334 0.667 0.000
Pt 0.284 0.284 0.000
```

---

A relaxed Pu2MnGe6Pt crystal, computed with PBE. Values from VASP.

Output
crystal system: trigonal
raw total energy: -7.475 eV/atom
DOS at the Fermi energy: 1.765 states/eV/atom
size of the total moment: 13.21 μB per cell
volume: 189 Å³ per cell
ΔE_f: -3.17 eV per formula unit
space group: P-3m1

Cell and atoms, written as Quantum ESPRESSO input:
```
&SYSTEM
  ibrav = 0, nat = 10, ntyp = 4
/
ATOMIC_SPECIES
Ge 72.64 Ge.upf
Pu 244.00 Pu.upf
Mn 54.94 Mn.upf
Pt 195.08 Pt.upf
CELL_PARAMETERS angstrom
-0.926 -5.194 -2.493
3.375 1.702 -4.799
2.641 -2.759 4.767
ATOMIC_POSITIONS crystal
Ge 0.767 0.193 0.807
Ge 0.233 0.807 0.614
Ge 0.233 0.807 0.193
Pu 0.733 0.667 0.333
Ge 0.767 0.193 0.386
Pu 0.267 0.333 0.667
Ge 0.233 0.386 0.193
Mn 0.000 0.000 0.000
Pt 0.500 0.000 0.000
Ge 0.767 0.614 0.807
```

---

A relaxed MnGe2SbPt crystal, computed with PBE. Values from VASP.

Output
crystal system: tetragonal
raw total energy: -4.471 eV/atom
DOS at the Fermi energy: 0.725 states/eV/atom
formation energy from raw total energies: 28.7 kcal/mol of atoms
size of the total moment: 3.75 μB per cell
volume: 133 Å³ per cell
space group: P4/mmm

Cell and atoms, written as Quantum ESPRESSO input:
```
&SYSTEM
  ibrav = 0, nat = 5, ntyp = 4
/
ATOMIC_SPECIES
Sb 121.76 Sb.upf
Pt 195.08 Pt.upf
Ge 72.64 Ge.upf
Mn 54.94 Mn.upf
CELL_PARAMETERS angstrom
5.215 0.000 0.000
0.000 4.872 0.000
0.000 0.000 5.215
ATOMIC_POSITIONS crystal
Sb 0.000 0.000 0.000
Pt 0.500 0.500 0.500
Ge 0.000 0.000 0.500
Mn 0.000 0.500 0.000
Ge 0.500 0.000 0.000
```

---

A relaxed ScMnGe2Pt crystal, computed with PBE. Values from VASP.

Output
crystal system: tetragonal
raw total energy: -5.867 eV/atom
DOS at the Fermi energy: 0.991 states/eV/atom
size of the total moment: 3.85 μB per cell
volume: 112 Å³ per cell
ΔE_f: 1.44 eV per formula unit
space group: P4/mmm

Cell and atoms, written as Quantum ESPRESSO input:
```
&SYSTEM
  ibrav = 0, nat = 5, ntyp = 4
/
ATOMIC_SPECIES
Pt 195.08 Pt.upf
Sc 44.96 Sc.upf
Mn 54.94 Mn.upf
Ge 72.64 Ge.upf
CELL_PARAMETERS angstrom
4.778 0.000 0.000
0.000 4.920 0.000
0.000 0.000 4.778
ATOMIC_POSITIONS crystal
Pt 0.000 0.000 0.000
Sc 0.500 0.500 0.500
Mn 0.000 0.500 0.000
Ge 0.500 0.000 0.000
Ge 0.000 0.000 0.500
```

---

A relaxed Sm2MnGePt6 crystal, computed with PBE. Values from VASP.

Output
crystal system: trigonal
raw total energy: -6.660 eV/atom
DOS at the Fermi energy: 0.294 states/eV/atom
size of the total moment: 4.03 μB per cell
volume: 211 Å³ per cell
ΔE_f: -7.13 eV per formula unit
space group: R-3m

Cell and atoms, written as Quantum ESPRESSO input:
```
&SYSTEM
  ibrav = 0, nat = 10, ntyp = 4
/
ATOMIC_SPECIES
Pt 195.08 Pt.upf
Sm 150.36 Sm.upf
Mn 54.94 Mn.upf
Ge 72.64 Ge.upf
CELL_PARAMETERS angstrom
-0.957 5.530 -0.280
-6.043 -0.752 5.767
-2.149 2.868 7.584
ATOMIC_POSITIONS crystal
Pt 0.756 0.750 0.995
Pt 0.250 0.244 0.501
Sm 0.297 0.703 0.405
Pt 0.750 0.756 0.499
Sm 0.703 0.297 0.595
Pt 0.250 0.750 0.995
Pt 0.750 0.250 0.005
Pt 0.244 0.250 0.005
Mn 0.000 0.000 0.000
Ge 0.500 0.500 0.000
```

---

A relaxed Sm2MnGe3Pt4 crystal, computed with PBE. Values from VASP.

Output
crystal system: tetragonal
raw total energy: -6.503 eV/atom
DOS at the Fermi energy: 0.818 states/eV/atom
size of the total moment: 3.71 μB per cell
volume: 191 Å³ per cell
ΔE_f: -8.40 eV per formula unit
space group: P-4m2

Cell and atoms, written as Quantum ESPRESSO input:
```
&SYSTEM
  ibrav = 0, nat = 10, ntyp = 4
/
ATOMIC_SPECIES
Sm 150.36 Sm.upf
Pt 195.08 Pt.upf
Ge 72.64 Ge.upf
Mn 54.94 Mn.upf
CELL_PARAMETERS angstrom
4.283 0.000 0.000
0.000 4.283 0.000
0.000 0.000 10.392
ATOMIC_POSITIONS crystal
Sm 0.000 0.500 0.748
Pt 0.000 0.500 0.366
Pt 0.000 0.000 0.000
Pt 0.500 0.500 0.000
Sm 0.500 0.000 0.252
Ge 0.500 0.000 0.868
Mn 0.500 0.500 0.500
Pt 0.500 0.000 0.634
Ge 0.000 0.500 0.132
Ge 0.000 0.000 0.500
```

---

A relaxed Sm2MnGe4Pt3 crystal, computed with PBE. Values from VASP.

Output
crystal system: tetragonal
raw total energy: -6.338 eV/atom
DOS at the Fermi energy: 0.552 states/eV/atom
size of the total moment: 3.32 μB per cell
volume: 190 Å³ per cell
ΔE_f: -8.18 eV per formula unit
space group: P-4m2

Cell and atoms, written as Quantum ESPRESSO input:
```
&SYSTEM
  ibrav = 0, nat = 10, ntyp = 4
/
ATOMIC_SPECIES
Pt 195.08 Pt.upf
Ge 72.64 Ge.upf
Sm 150.36 Sm.upf
Mn 54.94 Mn.upf
CELL_PARAMETERS angstrom
-3.821 1.589 0.920
0.123 -1.897 3.788
4.566 8.578 4.147
ATOMIC_POSITIONS crystal
Pt 0.000 0.500 0.131
Pt 0.500 0.000 0.869
Ge 0.500 0.500 0.000
Ge 0.500 0.000 0.634
Ge 0.000 0.500 0.366
Ge 0.000 0.000 0.000
Sm 0.000 0.500 0.749
Mn 0.500 0.500 0.500
Sm 0.500 0.000 0.251
Pt 0.000 0.000 0.500
```